(1)
LiDyNO | PBE | relaxed

```
data_LiDyNO
_symmetry_space_group_name_H-M 'P 4/n m m'
_symmetry_Int_Tables_number 129
_cell_length_a 3.6796
_cell_length_b 3.6796
_cell_length_c 7.1584
_cell_angle_alpha 90.00
_cell_angle_beta 90.00
_cell_angle_gamma 90.00
loop_
_symmetry_equiv_pos_as_xyz
'x,y,z'
'-x,-y,-z'
'-y+1/2,x,z'
'y+1/2,-x,-z'
'-x+1/2,-y+1/2,z'
'x+1/2,y+1/2,-z'
'y,-x+1/2,z'
'-y,x+1/2,-z'
'x+1/2,-y,-z'
'-x+1/2,y,z'
'-y,-x,-z'
'y,x,z'
'-x,y+1/2,-z'
'x,-y+1/2,z'
'y+1/2,x+1/2,-z'
'-y+1/2,-x+1/2,z'
loop_
_atom_site_label
_atom_site_type_symbol
_atom_site_fract_x
_atom_site_fract_y
_atom_site_fract_z
Li1 Li 0.2500 0.7500 0.0000
Dy1 Dy 0.2500 0.2500 0.3334
N1 N 0.2500 0.2500 0.8682
O1 O 0.2500 0.7500 0.5000
```

Output
- Relative energy among the computed polymorphs: 182 meV/atom

---

(2)
NaSiBPd | PBE | relaxed

```
data_NaSiBPd
_symmetry_space_group_name_H-M 'F -4 3 m'
_symmetry_Int_Tables_number 216
_symmetry_space_group_name_Hall 'F -4 2 3'
_cell_length_a 6.0264
_cell_length_b 6.0264
_cell_length_c 6.0264
_cell_angle_alpha 90.00
_cell_angle_beta 90.00
_cell_angle_gamma 90.00
loop_
_atom_site_label
_atom_site_type_symbol
_atom_site_fract_x
_atom_site_fract_y
_atom_site_fract_z
Na1 Na 0.0000 0.0000 0.0000
Si1 Si 0.2500 0.2500 0.7500
B1 B 0.0000 0.0000 0.5000
Pd1 Pd 0.2500 0.2500 0.2500
```

Output
- Relative energy among the computed polymorphs: 199 meV/atom

---

(3)
HfB2W | PBE | relaxed

```
data_HfB2W
_symmetry_space_group_name_H-M 'F -4 3 m'
_symmetry_Int_Tables_number 216
_symmetry_space_group_name_Hall 'F -4 2 3'
_cell_length_a 5.9207
_cell_length_b 5.9207
_cell_length_c 5.9207
_cell_angle_alpha 90.00
_cell_angle_beta 90.00
_cell_angle_gamma 90.00
loop_
_atom_site_label
_atom_site_type_symbol
_atom_site_fract_x
_atom_site_fract_y
_atom_site_fract_z
Hf1 Hf 0.0000 0.0000 0.0000
B1 B 0.0000 0.0000 0.5000
B2 B 0.2500 0.2500 0.2500
W1 W 0.2500 0.2500 0.7500
```

Output
- Raw total energy: -30.83 eV per formula unit

---

(4)
KSmB4 | PBE | relaxed

```
data_KSmB4
_symmetry_space_group_name_H-M 'I m m m'
_symmetry_Int_Tables_number 71
_symmetry_space_group_name_Hall '-I 2 2'
_cell_length_a 3.1219
_cell_length_b 7.8254
_cell_length_c 7.8547
_cell_angle_alpha 90.00
_cell_angle_beta 90.00
_cell_angle_gamma 90.00
loop_
_atom_site_label
_atom_site_type_symbol
_atom_site_fract_x
_atom_site_fract_y
_atom_site_fract_z
K1 K 0.0000 0.0000 0.0000
Sm1 Sm 0.0000 0.0000 0.5000
B1 B 0.0000 0.2640 0.2435
```

Output
- Relative energy among the computed polymorphs: 0 meV/atom

---

(5)
LaPrNi4 | PBE | relaxed

```
data_LaPrNi4
_symmetry_space_group_name_H-M 'F -4 3 m'
_symmetry_Int_Tables_number 216
_symmetry_space_group_name_Hall 'F -4 2 3'
_cell_length_a 7.3326
_cell_length_b 7.3326
_cell_length_c 7.3326
_cell_angle_alpha 90.00
_cell_angle_beta 90.00
_cell_angle_gamma 90.00
loop_
_atom_site_label
_atom_site_type_symbol
_atom_site_fract_x
_atom_site_fract_y
_atom_site_fract_z
La1 La 0.0000 0.0000 0.0000
Pr1 Pr 0.2500 0.2500 0.2500
Ni1 Ni 0.1252 0.1252 0.6252
```

Output
- Relative energy among the computed polymorphs: 0 meV/atom
- Energy relative to the elements: -7.00 kcal/mol of atoms

---

(6)
Nb3Hg2 | PBE | relaxed

```
data_Nb3Hg2
_symmetry_space_group_name_H-M 'P 4/m b m'
_symmetry_Int_Tables_number 127
_symmetry_space_group_name_Hall '-P 4 2ab'
_cell_length_a 7.3851
_cell_length_b 7.3851
_cell_length_c 3.6288
_cell_angle_alpha 90.00
_cell_angle_beta 90.00
_cell_angle_gamma 90.00
loop_
_atom_site_label
_atom_site_type_symbol
_atom_site_fract_x
_atom_site_fract_y
_atom_site_fract_z
Nb1 Nb 0.0000 0.0000 0.0000
Nb2 Nb 0.1713 0.3287 0.5000
Hg1 Hg 0.1325 0.6325 0.0000
```

Output
- Energy relative to the elements: 12.13 kcal/mol of atoms

---

(7)
ZnCl2 | PBE | relaxed

```
data_ZnCl2
_symmetry_space_group_name_H-M 'I b a m'
_symmetry_Int_Tables_number 72
_symmetry_space_group_name_Hall '-I 2 2c'
_cell_length_a 5.3068
_cell_length_b 9.8431
_cell_length_c 6.0282
_cell_angle_alpha 90.00
_cell_angle_beta 90.00
_cell_angle_gamma 90.00
loop_
_atom_site_label
_atom_site_type_symbol
_atom_site_fract_x
_atom_site_fract_y
_atom_site_fract_z
Zn1 Zn 0.0000 0.0000 0.2500
Cl1 Cl 0.2326 0.1243 0.0000
```

Output
- Raw total energy: -8.28 eV per formula unit

---

(8)
NiBiW | PBE | relaxed

```
data_NiBiW
_symmetry_space_group_name_H-M 'F -4 3 m'
_symmetry_Int_Tables_number 216
_symmetry_space_group_name_Hall 'F -4 2 3'
_cell_length_a 6.1365
_cell_length_b 6.1365
_cell_length_c 6.1365
_cell_angle_alpha 90.00
_cell_angle_beta 90.00
_cell_angle_gamma 90.00
loop_
_atom_site_label
_atom_site_type_symbol
_atom_site_fract_x
_atom_site_fract_y
_atom_site_fract_z
Ni1 Ni 0.0000 0.0000 0.0000
Bi1 Bi 0.2500 0.2500 0.7500
W1 W 0.2500 0.2500 0.2500
```

Output
- Relative energy among the computed polymorphs: 0 meV/atom

---

(9)
YAsOs | PBE | relaxed

```
data_YAsOs
_symmetry_space_group_name_H-M 'F -4 3 m'
_symmetry_Int_Tables_number 216
_symmetry_space_group_name_Hall 'F -4 2 3'
_cell_length_a 6.3419
_cell_length_b 6.3419
_cell_length_c 6.3419
_cell_angle_alpha 90.00
_cell_angle_beta 90.00
_cell_angle_gamma 90.00
loop_
_atom_site_label
_atom_site_type_symbol
_atom_site_fract_x
_atom_site_fract_y
_atom_site_fract_z
Y1 Y 0.0000 0.0000 0.0000
As1 As 0.0000 0.0000 0.5000
Os1 Os 0.2500 0.2500 0.7500
```

Output
- Raw total energy: -22.62 eV per formula unit

---

(10)
KZrCuTeSe2 | PBE | relaxed

```
data_KZrCuTeSe2
_symmetry_space_group_name_H-M 'C m c m'
_symmetry_Int_Tables_number 63
_symmetry_space_group_name_Hall '-C 2c 2'
_cell_length_a 3.9497
_cell_length_b 15.6444
_cell_length_c 10.6214
_cell_angle_alpha 90.00
_cell_angle_beta 90.00
_cell_angle_gamma 90.00
loop_
_atom_site_label
_atom_site_type_symbol
_atom_site_fract_x
_atom_site_fract_y
_atom_site_fract_z
K1 K 0.0000 0.2290 0.2500
Zr1 Zr 0.0000 0.0000 0.0000
Cu1 Cu 0.0000 0.4736 0.7500
Te1 Te 0.0000 0.0832 0.7500
Se1 Se 0.0000 0.3862 0.5610
```

Output
- Raw total energy: -29.54 eV per formula unit

---

(11)
CsLuGeSe3 | PBE | relaxed

```
data_CsLuGeSe3
_symmetry_space_group_name_H-M 'P 1 21/m 1'
_symmetry_Int_Tables_number 11
_cell_length_a 9.2047
_cell_length_b 4.0417
_cell_length_c 11.4138
_cell_angle_alpha 90.00
_cell_angle_beta 112.53
_cell_angle_gamma 90.00
loop_
_symmetry_equiv_pos_as_xyz
'x,y,z'
'-x,-y,-z'
'-x,y+1/2,-z'
'x,-y+1/2,z'
loop_
_atom_site_label
_atom_site_type_symbol
_atom_site_fract_x
_atom_site_fract_y
_atom_site_fract_z
Cs1 Cs 0.2268 0.2500 0.2720
Lu1 Lu 0.3702 0.7500 0.8472
Ge1 Ge 0.1287 0.2500 0.5638
Se1 Se 0.1331 0.2500 0.7825
Se2 Se 0.3247 0.7500 0.5858
Se3 Se 0.4037 0.7500 0.0999
```

Output
- Relative energy among the computed polymorphs: 0 meV/atom

---

(12)
UNiSb2 | PBE | relaxed

```
data_UNiSb2
_symmetry_space_group_name_H-M 'P 4/n m m'
_symmetry_Int_Tables_number 129
_cell_length_a 4.3482
_cell_length_b 4.3482
_cell_length_c 9.1176
_cell_angle_alpha 90.00
_cell_angle_beta 90.00
_cell_angle_gamma 90.00
loop_
_symmetry_equiv_pos_as_xyz
'x,y,z'
'-x,-y,-z'
'-y+1/2,x,z'
'y+1/2,-x,-z'
'-x+1/2,-y+1/2,z'
'x+1/2,y+1/2,-z'
'y,-x+1/2,z'
'-y,x+1/2,-z'
'x+1/2,-y,-z'
'-x+1/2,y,z'
'-y,-x,-z'
'y,x,z'
'-x,y+1/2,-z'
'x,-y+1/2,z'
'y+1/2,x+1/2,-z'
'-y+1/2,-x+1/2,z'
loop_
_atom_site_label
_atom_site_type_symbol
_atom_site_fract_x
_atom_site_fract_y
_atom_site_fract_z
U1 U 0.2500 0.2500 0.2302
Ni1 Ni 0.2500 0.7500 0.0000
Sb1 Sb 0.2500 0.2500 0.8400
Sb2 Sb 0.2500 0.7500 0.5000
```

Output
- Raw total energy: -26.48 eV per formula unit

---

(13)
Te6IrBr3 | PBE | relaxed

```
data_Te6IrBr3
_symmetry_space_group_name_H-M 'R -3 c'
_symmetry_Int_Tables_number 167
_symmetry_space_group_name_Hall '-R 3 2"c'
_cell_length_a 15.0577
_cell_length_b 15.0577
_cell_length_c 9.9880
_cell_angle_alpha 90.00
_cell_angle_beta 90.00
_cell_angle_gamma 120.00
loop_
_atom_site_label
_atom_site_type_symbol
_atom_site_fract_x
_atom_site_fract_y
_atom_site_fract_z
Te1 Te 0.0756 0.1690 0.0957
Ir1 Ir 0.0000 0.0000 0.2500
Br1 Br 0.0000 0.2672 0.7500
```

Output
- Raw total energy: -35.55 eV per formula unit

---

(14)
LuSiB | PBE | relaxed

```
data_LuSiB
_symmetry_space_group_name_H-M 'F -4 3 m'
_symmetry_Int_Tables_number 216
_symmetry_space_group_name_Hall 'F -4 2 3'
_cell_length_a 5.9078
_cell_length_b 5.9078
_cell_length_c 5.9078
_cell_angle_alpha 90.00
_cell_angle_beta 90.00
_cell_angle_gamma 90.00
loop_
_atom_site_label
_atom_site_type_symbol
_atom_site_fract_x
_atom_site_fract_y
_atom_site_fract_z
Lu1 Lu 0.0000 0.0000 0.0000
Si1 Si 0.2500 0.2500 0.7500
B1 B 0.0000 0.0000 0.5000
```

Output
- Raw total energy: -14.49 eV per formula unit

---

(15)
TmB4Os | PBE | relaxed

```
data_TmB4Os
_symmetry_space_group_name_H-M 'P b a m'
_symmetry_Int_Tables_number 55
_cell_length_a 5.9258
_cell_length_b 11.4652
_cell_length_c 3.5401
_cell_angle_alpha 90.00
_cell_angle_beta 90.00
_cell_angle_gamma 90.00
loop_
_symmetry_equiv_pos_as_xyz
'x,y,z'
'-x,-y,-z'
'-x,-y,z'
'x,y,-z'
'x+1/2,-y+1/2,-z'
'-x+1/2,y+1/2,z'
'-x+1/2,y+1/2,-z'
'x+1/2,-y+1/2,z'
loop_
_atom_site_label
_atom_site_type_symbol
_atom_site_fract_x
_atom_site_fract_y
_atom_site_fract_z
Tm1 Tm 0.1285 0.1499 0.0000
B1 B 0.0252 0.6923 0.5000
B2 B 0.1134 0.5472 0.5000
B3 B 0.1352 0.9700 0.5000
B4 B 0.2094 0.8138 0.5000
Os1 Os 0.1414 0.4061 0.0000
```

Output
- Relative energy among the computed polymorphs: 0 meV/atom

---

(16)
UInSi | PBE | relaxed

```
data_UInSi
_symmetry_space_group_name_H-M 'F -4 3 m'
_symmetry_Int_Tables_number 216
_symmetry_space_group_name_Hall 'F -4 2 3'
_cell_length_a 6.6018
_cell_length_b 6.6018
_cell_length_c 6.6018
_cell_angle_alpha 90.00
_cell_angle_beta 90.00
_cell_angle_gamma 90.00
loop_
_atom_site_label
_atom_site_type_symbol
_atom_site_fract_x
_atom_site_fract_y
_atom_site_fract_z
U1 U 0.0000 0.0000 0.0000
In1 In 0.0000 0.0000 0.5000
Si1 Si 0.2500 0.2500 0.7500
```

Output
- Relative energy among the computed polymorphs: 0 meV/atom

---

(17)
NiHgBPt | PBE | relaxed

```
data_NiHgBPt
_symmetry_space_group_name_H-M 'F -4 3 m'
_symmetry_Int_Tables_number 216
_symmetry_space_group_name_Hall 'F -4 2 3'
_cell_length_a 6.0635
_cell_length_b 6.0635
_cell_length_c 6.0635
_cell_angle_alpha 90.00
_cell_angle_beta 90.00
_cell_angle_gamma 90.00
loop_
_atom_site_label
_atom_site_type_symbol
_atom_site_fract_x
_atom_site_fract_y
_atom_site_fract_z
Ni1 Ni 0.0000 0.0000 0.0000
Hg1 Hg 0.2500 0.2500 0.2500
B1 B 0.2500 0.2500 0.7500
Pt1 Pt 0.0000 0.0000 0.5000
```

Output
- Relative energy among the computed polymorphs: 58 meV/atom

---

(18)
CdGa2Te2S2 | PBE | relaxed

```
data_CdGa2Te2S2
_symmetry_space_group_name_H-M 'P 1'
_symmetry_Int_Tables_number 1
_cell_length_a 5.9142
_cell_length_b 6.0457
_cell_length_c 6.8261
_cell_angle_alpha 113.40
_cell_angle_beta 114.30
_cell_angle_gamma 90.50
loop_
_symmetry_equiv_pos_as_xyz
'x,y,z'
loop_
_atom_site_label
_atom_site_type_symbol
_atom_site_fract_x
_atom_site_fract_y
_atom_site_fract_z
Cd1 Cd 0.0000 0.0000 0.0000
Ga1 Ga 0.2788 0.7654 0.4924
Ga2 Ga 0.4965 0.5410 0.9885
Te1 Te 0.1147 0.1532 0.7030
Te2 Te 0.8672 0.4183 0.2824
S1 S 0.3912 0.8649 0.2438
S2 S 0.6035 0.6425 0.7382
```

Output
- Raw total energy: -25.07 eV per formula unit

---

(19)
ZnIn2GaCl6 | PBE | relaxed

```
data_ZnIn2GaCl6
_symmetry_space_group_name_H-M 'F m -3 m'
_symmetry_Int_Tables_number 225
_symmetry_space_group_name_Hall '-F 4 2 3'
_cell_length_a 10.0266
_cell_length_b 10.0266
_cell_length_c 10.0266
_cell_angle_alpha 90.00
_cell_angle_beta 90.00
_cell_angle_gamma 90.00
loop_
_atom_site_label
_atom_site_type_symbol
_atom_site_fract_x
_atom_site_fract_y
_atom_site_fract_z
Zn1 Zn 0.0000 0.0000 0.0000
In1 In 0.2500 0.2500 0.2500
Ga1 Ga 0.0000 0.0000 0.5000
Cl1 Cl 0.0000 0.0000 0.2476
```

Output
- Raw total energy: -29.48 eV per formula unit

---

(20)
YCuAgGe | PBE | relaxed

```
data_YCuAgGe
_symmetry_space_group_name_H-M 'F -4 3 m'
_symmetry_Int_Tables_number 216
_symmetry_space_group_name_Hall 'F -4 2 3'
_cell_length_a 6.7112
_cell_length_b 6.7112
_cell_length_c 6.7112
_cell_angle_alpha 90.00
_cell_angle_beta 90.00
_cell_angle_gamma 90.00
loop_
_atom_site_label
_atom_site_type_symbol
_atom_site_fract_x
_atom_site_fract_y
_atom_site_fract_z
Y1 Y 0.0000 0.0000 0.0000
Cu1 Cu 0.0000 0.0000 0.5000
Ag1 Ag 0.2500 0.2500 0.7500
Ge1 Ge 0.2500 0.2500 0.2500
```

Output
- Relative energy among the computed polymorphs: 0 meV/atom

---

(21)
Tm3Lu3FeTe2 | PBE | relaxed

```
data_Tm3Lu3FeTe2
_symmetry_space_group_name_H-M 'P -6 2 m'
_symmetry_Int_Tables_number 189
_symmetry_space_group_name_Hall 'P -6 -2'
_cell_length_a 8.1474
_cell_length_b 8.1474
_cell_length_c 3.9393
_cell_angle_alpha 90.00
_cell_angle_beta 90.00
_cell_angle_gamma 120.00
loop_
_atom_site_label
_atom_site_type_symbol
_atom_site_fract_x
_atom_site_fract_y
_atom_site_fract_z
Tm1 Tm 0.0000 0.3902 0.0000
Lu1 Lu 0.0000 0.7672 0.5000
Fe1 Fe 0.0000 0.0000 0.0000
Te1 Te 0.3333 0.6667 0.5000
```

Output
- Relative energy among the computed polymorphs: 0 meV/atom

---

(22)
ThAlPt | PBE | relaxed

```
data_ThAlPt
_symmetry_space_group_name_H-M 'P -6 2 m'
_symmetry_Int_Tables_number 189
_symmetry_space_group_name_Hall 'P -6 -2'
_cell_length_a 8.3289
_cell_length_b 8.3289
_cell_length_c 3.2292
_cell_angle_alpha 90.00
_cell_angle_beta 90.00
_cell_angle_gamma 120.00
loop_
_atom_site_label
_atom_site_type_symbol
_atom_site_fract_x
_atom_site_fract_y
_atom_site_fract_z
Th1 Th 0.0000 0.3035 0.0000
Al1 Al 0.0000 0.0000 0.5000
Al2 Al 0.3333 0.6667 0.0000
Pt1 Pt 0.0000 0.6511 0.5000
```

Output
- Raw total energy: -18.40 eV per formula unit

---

(23)
NaLaHfPd | PBE | relaxed

```
data_NaLaHfPd
_symmetry_space_group_name_H-M 'F -4 3 m'
_symmetry_Int_Tables_number 216
_symmetry_space_group_name_Hall 'F -4 2 3'
_cell_length_a 7.1525
_cell_length_b 7.1525
_cell_length_c 7.1525
_cell_angle_alpha 90.00
_cell_angle_beta 90.00
_cell_angle_gamma 90.00
loop_
_atom_site_label
_atom_site_type_symbol
_atom_site_fract_x
_atom_site_fract_y
_atom_site_fract_z
Na1 Na 0.0000 0.0000 0.0000
La1 La 0.0000 0.0000 0.5000
Hf1 Hf 0.2500 0.2500 0.2500
Pd1 Pd 0.2500 0.2500 0.7500
```

Output
- Relative energy among the computed polymorphs: 181 meV/atom

---

(24)
La3HgS | PBE | relaxed

```
data_La3HgS
_symmetry_space_group_name_H-M 'I m m a'
_symmetry_Int_Tables_number 74
_symmetry_space_group_name_Hall '-I 2b 2'
_cell_length_a 7.8937
_cell_length_b 10.8763
_cell_length_c 7.5444
_cell_angle_alpha 90.00
_cell_angle_beta 90.00
_cell_angle_gamma 90.00
loop_
_atom_site_label
_atom_site_type_symbol
_atom_site_fract_x
_atom_site_fract_y
_atom_site_fract_z
La1 La 0.0000 0.2500 0.1187
La2 La 0.2500 0.0619 0.7500
Hg1 Hg 0.0000 0.2500 0.5303
S1 S 0.0000 0.0000 0.0000
```

Output
- Raw total energy: -23.97 eV per formula unit

---

(25)
Tm5ZnAg4 | PBE | relaxed

```
data_Tm5ZnAg4
_symmetry_space_group_name_H-M 'P 4/m m m'
_symmetry_Int_Tables_number 123
_symmetry_space_group_name_Hall '-P 4 2'
_cell_length_a 3.5748
_cell_length_b 3.5748
_cell_length_c 17.8744
_cell_angle_alpha 90.00
_cell_angle_beta 90.00
_cell_angle_gamma 90.00
loop_
_atom_site_label
_atom_site_type_symbol
_atom_site_fract_x
_atom_site_fract_y
_atom_site_fract_z
Tm1 Tm 0.0000 0.0000 0.0000
Tm2 Tm 0.0000 0.0000 0.2020
Tm3 Tm 0.0000 0.0000 0.4040
Zn1 Zn 0.5000 0.5000 0.5000
Ag1 Ag 0.5000 0.5000 0.1008
Ag2 Ag 0.5000 0.5000 0.3038
```

Output
- Energy relative to the elements: -8.18 kcal/mol of atoms